Entry 1:
Entry from the Alexandria database: a geometry-optimized PmPr3Nd4S8 structure (PBE-GGA).

Its uncorrected formation energy is -32.32 eV/f.u. As for the space group: R-3m (166). The calculation puts the electronic total energy at -6.469 eV per atom. The spin magnetization is 0.000 μB/f.u.

Cell: 8.160 8.160 8.160 Å, 60.01 60.01 60.01°
Fractional positions:
Pm  0.000  0.000  0.000
Pr  0.000  0.500  0.500
Pr  0.500  0.000  0.500
Pr  0.500  0.500  0.000
Nd  0.000  0.000  0.500
Nd  0.000  0.500  0.000
Nd  0.500  0.000  0.000
Nd  0.500  0.500  0.500
S  0.246  0.751  0.751
S  0.249  0.249  0.249
S  0.249  0.249  0.754
S  0.249  0.754  0.249
S  0.751  0.246  0.751
S  0.751  0.751  0.246
S  0.751  0.751  0.751
S  0.754  0.249  0.249



Entry 2:
Entry from the Alexandria database: a geometry-optimized Na3Cd7 structure (PBE-GGA).

As for the space group: C2/m (12). The calculation puts the electronic total energy at -1.109 eV per atom. The spin magnetization is 0.000 μB/f.u.

Cell: 8.549 8.549 6.528 Å, 103.45 103.45 31.35°
Fractional positions:
Na  0.000  0.000  0.000
Na  0.200  0.200  0.603
Na  0.800  0.800  0.397
Cd  0.000  0.000  0.500
Cd  0.198  0.198  0.093
Cd  0.396  0.396  0.196
Cd  0.406  0.406  0.697
Cd  0.594  0.594  0.303
Cd  0.604  0.604  0.804
Cd  0.802  0.802  0.907



Entry 3:
Entry from the Alexandria database: a geometry-optimized InBiPd6 structure (PBE-GGA).

As for the space group: P-1 (2). The calculation puts the electronic total energy at -4.973 eV per atom. The energy above the most stable polymorph in this dataset comes out at 119 meV per atom. The spin magnetization is 0.000 μB/f.u.

Cell: 5.230 5.238 5.269 Å, 94.79 95.02 95.15°
Fractional positions:
In  0.000  0.000  0.000
Bi  0.500  0.500  0.500
Pd  0.055  0.754  0.442
Pd  0.247  0.558  0.944
Pd  0.445  0.053  0.753
Pd  0.555  0.947  0.247
Pd  0.753  0.442  0.056
Pd  0.945  0.246  0.558



Entry 4:
Entry from the Alexandria database: a geometry-optimized CuW2Au structure (PBE-GGA).

As for the space group: C2/m (12). The calculation puts the electronic total energy at -7.886 eV per atom. The energy above the most stable polymorph in this dataset comes out at 208 meV per atom. The spin magnetization is 0.000 μB/f.u.

Cell: 5.053 5.053 2.719 Å, 90.12 90.12 116.23°
Fractional positions:
Cu  0.000  0.000  0.000
W  0.000  0.500  0.500
W  0.500  0.000  0.500
Au  0.500  0.500  0.000



Entry 5:
Entry from the Alexandria database: a geometry-optimized AcMgZn2Ni2 structure (PBE-GGA).

As for the space group: P-3m1 (164). The calculation puts the electronic total energy at -3.589 eV per atom. The spin magnetization is 0.000 μB/f.u.

Cell: 4.318 4.318 7.022 Å, 90.00 90.00 120.00°
Fractional positions:
Ac  0.000  0.000  0.000
Mg  0.000  0.000  0.500
Zn  0.333  0.667  0.323
Zn  0.667  0.333  0.677
Ni  0.333  0.667  0.692
Ni  0.667  0.333  0.308



Entry 6:
Entry from the Alexandria database: a geometry-optimized Ti2Pd2Rh structure (PBE-GGA).

As for the space group: P4/mbm (127). The calculation puts the electronic total energy at -7.088 eV per atom. The energy above the most stable polymorph in this dataset comes out at 184 meV per atom. The spin magnetization is 0.000 μB/f.u.

Cell: 7.079 7.079 3.196 Å, 90.00 90.00 90.00°
Fractional positions:
Ti  0.163  0.337  0.000
Ti  0.337  0.837  0.000
Ti  0.663  0.163  0.000
Ti  0.837  0.663  0.000
Pd  0.138  0.638  0.500
Pd  0.362  0.138  0.500
Pd  0.638  0.862  0.500
Pd  0.862  0.362  0.500
Rh  0.000  0.000  0.000
Rh  0.500  0.500  0.000



Entry 7:
Entry from the Alexandria database: a geometry-optimized RbIr3Pb structure (PBE-GGA).

As for the space group: Pm-3m (221). The calculation puts the electronic total energy at -4.427 eV per atom. The energy above the most stable polymorph in this dataset comes out at 0 meV per atom. The spin magnetization is 1.758 μB/f.u.

Cell: 5.155 5.155 5.155 Å, 90.00 90.00 90.00°
Fractional positions:
Rb  0.000  0.000  0.000
Ir  0.000  0.500  0.500
Ir  0.500  0.000  0.500
Ir  0.500  0.500  0.000
Pb  0.500  0.500  0.500



Entry 8:
Entry from the Alexandria database: a geometry-optimized Sc2InBi structure (PBE-GGA).

As for the space group: R-3m (166). The calculation puts the electronic total energy at -4.750 eV per atom. The energy above the most stable polymorph in this dataset comes out at 470 meV per atom. The spin magnetization is 0.000 μB/f.u.

Cell: 10.051 10.051 10.051 Å, 22.02 22.02 22.02°
Fractional positions:
Sc  0.102  0.102  0.102
Sc  0.898  0.898  0.898
In  0.000  0.000  0.000
Bi  0.500  0.500  0.500



Entry 9:
Entry from the Alexandria database: a geometry-optimized Sn2WCCl structure (PBE-GGA).

Its uncorrected formation energy is 8.04 eV/f.u. As for the space group: P4/mmm (123). The calculation puts the electronic total energy at -4.799 eV per atom. The spin magnetization is 2.093 μB/f.u.

Cell: 5.361 5.361 4.543 Å, 90.00 90.00 90.00°
Fractional positions:
Sn  0.000  0.500  0.000
Sn  0.500  0.000  0.000
W  0.000  0.000  0.000
C  0.500  0.500  0.500
Cl  0.000  0.000  0.500



Entry 10:
Entry from the Alexandria database: a geometry-optimized KTbHo4S8 structure (PBE-GGA).

Its uncorrected formation energy is -27.07 eV/f.u. As for the space group: R3m (160). The calculation puts the electronic total energy at -6.009 eV per atom. The spin magnetization is 0.000 μB/f.u.

Cell: 8.211 8.211 8.211 Å, 59.75 59.75 59.75°
Fractional positions:
K  0.000  0.000  0.000
Tb  0.369  0.369  0.369
Ho  0.369  0.369  0.887
Ho  0.369  0.887  0.369
Ho  0.749  0.749  0.749
Ho  0.887  0.369  0.369
S  0.139  0.139  0.574
S  0.139  0.574  0.139
S  0.141  0.141  0.141
S  0.145  0.617  0.617
S  0.574  0.139  0.139
S  0.616  0.616  0.616
S  0.617  0.145  0.617
S  0.617  0.617  0.145



Entry 11:
Entry from the Alexandria database: a geometry-optimized Sr2Ca12Ga7 structure (PBE-GGA).

As for the space group: P-6 (174). The calculation puts the electronic total energy at -2.596 eV per atom. The spin magnetization is 0.000 μB/f.u.

Cell: 12.815 12.815 4.691 Å, 90.00 90.00 120.00°
Fractional positions:
Sr  0.000  0.000  0.000
Sr  0.333  0.667  0.500
Ca  0.056  0.275  0.500
Ca  0.102  0.703  0.000
Ca  0.220  0.944  0.500
Ca  0.297  0.398  0.000
Ca  0.389  0.174  0.000
Ca  0.542  0.431  0.500
Ca  0.569  0.111  0.500
Ca  0.602  0.898  0.000
Ca  0.725  0.780  0.500
Ca  0.785  0.611  0.000
Ca  0.826  0.215  0.000
Ca  0.889  0.458  0.500
Ga  0.082  0.453  0.000
Ga  0.253  0.207  0.500
Ga  0.371  0.918  0.000
Ga  0.547  0.629  0.000
Ga  0.667  0.333  0.000
Ga  0.793  0.046  0.500
Ga  0.954  0.747  0.500



Entry 12:
Entry from the Alexandria database: a geometry-optimized Ho12Sc6In structure (PBE-GGA).

As for the space group: Im-3 (204). The calculation puts the electronic total energy at -4.884 eV per atom. The spin magnetization is 0.000 μB/f.u.

Cell: 8.923 8.923 8.923 Å, 109.47 109.47 109.47°
Fractional positions:
Ho  0.082  0.266  0.816
Ho  0.184  0.450  0.266
Ho  0.184  0.918  0.734
Ho  0.266  0.184  0.450
Ho  0.266  0.816  0.082
Ho  0.450  0.266  0.184
Ho  0.550  0.734  0.816
Ho  0.734  0.184  0.918
Ho  0.734  0.816  0.550
Ho  0.816  0.082  0.266
Ho  0.816  0.550  0.734
Ho  0.918  0.734  0.184
Sc  0.140  0.500  0.640
Sc  0.360  0.860  0.500
Sc  0.500  0.360  0.860
Sc  0.500  0.640  0.140
Sc  0.640  0.140  0.500
Sc  0.860  0.500  0.360
In  0.000  0.000  0.000